(1)
DFT (PBE) results for a geometry-optimized KIn2Cu2 structure.

```
data_KIn2Cu2
_chemical_formula_sum 'K2 In4 Cu4'
_cell_length_a 4.6733
_cell_length_b 4.6733
_cell_length_c 10.9442
_cell_angle_alpha 90.00
_cell_angle_beta 90.00
_cell_angle_gamma 90.00
_symmetry_space_group_name_H-M 'I 4/m m m'
_symmetry_Int_Tables_number 139
_symmetry_space_group_name_Hall '-I 4 2'
loop_
_atom_site_label
_atom_site_type_symbol
_atom_site_fract_x
_atom_site_fract_y
_atom_site_fract_z
K1 K 0.0000 0.0000 0.0000
In1 In 0.0000 0.5000 0.2500
Cu1 Cu 0.0000 0.0000 0.3861
```

## Properties
Formation energy, eV per atom: 0.091



(2)
DFT (PBE) results for a geometry-optimized TmGa2Cu9 structure.

```
data_TmGa2Cu9
_chemical_formula_sum 'Tm3 Ga6 Cu27'
_cell_length_a 4.9572
_cell_length_b 4.9572
_cell_length_c 23.8458
_cell_angle_alpha 90.00
_cell_angle_beta 90.00
_cell_angle_gamma 120.00
_symmetry_space_group_name_H-M 'R -3 m'
_symmetry_Int_Tables_number 166
_symmetry_space_group_name_Hall '-R 3 2"'
loop_
_atom_site_label
_atom_site_type_symbol
_atom_site_fract_x
_atom_site_fract_y
_atom_site_fract_z
Tm1 Tm 0.0000 0.0000 0.0000
Ga1 Ga 0.0000 0.0000 0.1415
Cu1 Cu 0.0000 0.0000 0.3339
Cu2 Cu 0.0000 0.0000 0.5000
Cu3 Cu 0.0051 0.5026 0.9141
```

## Properties
Formation energy, eV per atom: -0.119



(3)
DFT (PBE) results for a geometry-optimized BaZr2Rh structure.

```
data_BaZr2Rh
_chemical_formula_sum 'Ba1 Zr2 Rh1'
_cell_length_a 3.4338
_cell_length_b 3.4338
_cell_length_c 8.8087
_cell_angle_alpha 90.00
_cell_angle_beta 90.00
_cell_angle_gamma 90.00
_symmetry_space_group_name_H-M 'P 4/m m m'
_symmetry_Int_Tables_number 123
_symmetry_space_group_name_Hall '-P 4 2'
loop_
_atom_site_label
_atom_site_type_symbol
_atom_site_fract_x
_atom_site_fract_y
_atom_site_fract_z
Ba1 Ba 0.0000 0.0000 0.0000
Zr1 Zr 0.5000 0.5000 0.3332
Rh1 Rh 0.0000 0.0000 0.5000
```

## Properties
Formation energy, eV per atom: -0.007



(4)
DFT (PBE) results for a geometry-optimized Cu2MoW structure.

```
data_Cu2MoW
_chemical_formula_sum 'Cu2 Mo1 W1'
_cell_length_a 2.6030
_cell_length_b 3.9882
_cell_length_c 5.5071
_cell_angle_alpha 90.00
_cell_angle_beta 90.00
_cell_angle_gamma 90.00
_symmetry_space_group_name_H-M 'P m m 2'
_symmetry_Int_Tables_number 25
_symmetry_space_group_name_Hall 'P 2 -2'
loop_
_atom_site_label
_atom_site_type_symbol
_atom_site_fract_x
_atom_site_fract_y
_atom_site_fract_z
Cu1 Cu 0.0000 0.0000 0.0000
Cu2 Cu 0.5000 0.5000 0.2229
Mo1 Mo 0.0000 0.0000 0.4830
W1 W 0.5000 0.5000 0.7437
```

## Properties
Formation energy, eV per atom: 0.297



(5)
DFT (PBE) results for a geometry-optimized BaCoTc2 structure.

```
data_BaCoTc2
_chemical_formula_sum 'Ba2 Co2 Tc4'
_cell_length_a 5.4091
_cell_length_b 9.9643
_cell_length_c 2.9808
_cell_angle_alpha 90.00
_cell_angle_beta 113.91
_cell_angle_gamma 90.00
_symmetry_space_group_name_H-M 'C 1 2/m 1'
_symmetry_Int_Tables_number 12
_symmetry_space_group_name_Hall '-C 2y'
loop_
_atom_site_label
_atom_site_type_symbol
_atom_site_fract_x
_atom_site_fract_y
_atom_site_fract_z
Ba1 Ba 0.0000 0.0000 0.0000
Co1 Co 0.0000 0.5000 0.0000
Tc1 Tc 0.2500 0.2500 0.5000
```

## Properties
Formation energy, eV per atom: 1.275



(6)
DFT (PBE) results for a geometry-optimized Y3UPt12 structure.

```
data_Y3UPt12
_chemical_formula_sum 'Y3 U1 Pt12'
_cell_length_a 4.1367
_cell_length_b 4.1367
_cell_length_c 16.4907
_cell_angle_alpha 90.00
_cell_angle_beta 90.00
_cell_angle_gamma 90.00
_symmetry_space_group_name_H-M 'P 4/m m m'
_symmetry_Int_Tables_number 123
_symmetry_space_group_name_Hall '-P 4 2'
loop_
_atom_site_label
_atom_site_type_symbol
_atom_site_fract_x
_atom_site_fract_y
_atom_site_fract_z
Y1 Y 0.0000 0.0000 0.0000
Y2 Y 0.0000 0.0000 0.2472
U1 U 0.0000 0.0000 0.5000
Pt1 Pt 0.0000 0.5000 0.1250
Pt2 Pt 0.0000 0.5000 0.3785
Pt3 Pt 0.5000 0.5000 0.0000
Pt4 Pt 0.5000 0.5000 0.2509
Pt5 Pt 0.5000 0.5000 0.5000
```

## Properties
Formation energy, eV per atom: -0.957



DFT total energy, record by record: -28.62; -146.47; -26.40; -30.79; -49.32; -118.48 eV per cell
N(E_F), record by record: 2.097; 5.032; 6.074; 3.060; 6.515; 13.842 states/eV/f.u.